# Ba2Au

An optimized crystal structure of Ba2Au (GGA-PBEsol, the Alexandria database).

Values from the calculation:
Magnetic moment = 0.00 μB per formula unit
Total DFT energy (no corrections) = -3.138 eV per atom
Space group = Cmcm (63)

Geometry as POSCAR:
```
Ba2Au
1.0
2.335 -8.997 0.000
2.335 8.997 0.000
0.000 0.000 6.619
Ba Au
4 2
direct
0.073 0.927 0.750
0.316 0.684 0.750
0.684 0.316 0.250
0.927 0.073 0.250
0.308 0.692 0.250
0.692 0.308 0.750
```

# HfZrMo2

An optimized crystal structure of HfZrMo2 (GGA-PBEsol, the Alexandria database).

Values from the calculation:
Magnetic moment = 0.00 μB per formula unit
Total DFT energy (no corrections) = -10.734 eV per atom
Space group = Fm-3m (225)

Geometry as POSCAR:
```
HfZrMo2
1.0
0.000 3.286 3.286
3.286 0.000 3.286
3.286 3.286 0.000
Hf Zr Mo
1 1 2
direct
0.000 0.000 0.000
0.500 0.500 0.500
0.250 0.250 0.250
0.750 0.750 0.750
```

# KMnRe2Au

An optimized crystal structure of KMnRe2Au (GGA-PBEsol, the Alexandria database).

Values from the calculation:
Magnetic moment = 9.39 μB per formula unit
Total DFT energy (no corrections) = -5.954 eV per atom
Space group = P4/mmm (123)

Geometry as POSCAR:
```
KMnRe2Au
1.0
5.005 0.000 0.000
0.000 5.005 0.000
0.000 0.000 4.958
K Mn Re Au
1 1 2 1
direct
0.000 0.000 0.000
0.500 0.500 0.000
0.000 0.500 0.500
0.500 0.000 0.500
0.500 0.500 0.500
```

# Hg2IrCl

An optimized crystal structure of Hg2IrCl (GGA-PBEsol, the Alexandria database).

Values from the calculation:
Magnetic moment = 0.00 μB per formula unit
Total DFT energy (no corrections) = -2.878 eV per atom
Space group = P4/mmm (123)

Geometry as POSCAR:
```
Hg2IrCl
1.0
4.950 0.000 0.000
0.000 4.950 0.000
0.000 0.000 2.989
Hg Ir Cl
2 1 1
direct
0.000 0.500 0.000
0.500 0.000 0.000
0.000 0.000 0.500
0.500 0.500 0.500
```

# AuSeBr3

An optimized crystal structure of AuSeBr3 (GGA-PBEsol, the Alexandria database).

Values from the calculation:
Magnetic moment = 2.69 μB per formula unit
Total DFT energy (no corrections) = -2.268 eV per atom
Space group = Pm-3m (221)

Geometry as POSCAR:
```
AuSeBr3
1.0
5.190 0.000 0.000
0.000 5.190 0.000
0.000 0.000 5.190
Au Se Br
1 1 3
direct
0.000 0.000 0.000
0.500 0.500 0.500
0.000 0.000 0.500
0.000 0.500 0.000
0.500 0.000 0.000
```

# Ca2ZnAg

An optimized crystal structure of Ca2ZnAg (GGA-PBEsol, the Alexandria database).

Values from the calculation:
Magnetic moment = 0.00 μB per formula unit
Total DFT energy (no corrections) = -2.555 eV per atom
Space group = Amm2 (38)

Geometry as POSCAR:
```
Ca2ZnAg
1.0
4.509 0.000 0.000
0.000 2.013 5.600
0.000 -2.013 5.600
Ca Zn Ag
2 1 1
direct
0.000 0.000 0.000
0.500 0.289 0.289
0.000 0.712 0.712
0.500 0.579 0.579
```